[1]
Material: LiFe2TcPt
Method: DFT, PBE-GGA
State: optimized geometry

- symmetry = P4/mmm
- DFT formation energy (kJ per mole of atoms) = 95

Cell: 3.930 4.004 3.930 Å, 90.00 90.00 90.00°
Element x y z (fractional)
Fe 0.500 0.000 0.000
Li 0.000 0.000 0.000
Tc 0.500 0.500 0.500
Pt 0.000 0.500 0.000
Fe 0.000 0.000 0.500

---

[2]
Material: NbTeI
Method: DFT, PBE-GGA
State: optimized geometry

- symmetry = R3m
- energy relative to the elements, uncorrected (kJ per mole of atoms) = -44
- excess energy over the best structure of this formula in the dataset (eV/atom) = 0.038

Cell: 3.680 3.680 22.537 Å, 90.00 90.00 120.00°
Element x y z (fractional)
Te 0.000 0.000 0.403
I 0.000 0.000 0.568
I 0.667 0.333 0.901
Te 0.333 0.667 0.070
Te 0.667 0.333 0.736
Nb 0.667 0.333 0.151
Nb 0.000 0.000 0.818
I 0.333 0.667 0.235
Nb 0.333 0.667 0.484

---

[3]
Material: SbPd2Au2
Method: DFT, PBE-GGA
State: optimized geometry

- symmetry = P4/mbm
- energy relative to the elements, uncorrected (kJ per mole of atoms) = -4
- excess energy over the best structure of this formula in the dataset (eV/atom) = 0.078

Cell: 7.615 7.615 3.251 Å, 90.00 90.00 90.00°
Element x y z (fractional)
Au 0.861 0.639 0.000
Sb 0.000 0.000 0.000
Sb 0.500 0.500 0.000
Au 0.139 0.361 0.000
Pd 0.157 0.657 0.500
Pd 0.843 0.343 0.500
Au 0.639 0.139 0.000
Pd 0.657 0.843 0.500
Au 0.361 0.861 0.000
Pd 0.343 0.157 0.500

---

Number 1: final energy -6.069 eV/atom, ρ 11.05 Mg/m³. Number 2: final energy -5.379 eV/atom, ρ 6.55 Mg/m³. Number 3: final energy -4.250 eV/atom, ρ 12.84 Mg/m³.